[1]
Tb2TlCo GGA-PBE relaxed; calculated total energy = -4.68 eV/atom; energy of formation = 0.005 eV per atom; magnetization = 0.00 μB/f.u.
1.0
4.154 -8.002 0.000
4.154 8.002 0.000
0.000 0.000 6.032
Tb Tl Co
8 4 4
Direct
0.072 0.428 0.750
0.125 0.875 0.765
0.375 0.625 0.265
0.428 0.072 0.250
0.572 0.928 0.750
0.625 0.375 0.735
0.875 0.125 0.235
0.928 0.572 0.250
0.236 0.236 0.500
0.264 0.264 0.000
0.736 0.736 0.000
0.764 0.764 0.500
0.063 0.937 0.222
0.437 0.563 0.722
0.563 0.437 0.278
0.937 0.063 0.778

---

[2]
Mg6HgPd GGA-PBE relaxed; energy above the most stable polymorph in this dataset = 1.23 eV per formula unit; calculated total energy = -1.97 eV/atom; energy of formation = -0.083 eV per atom; magnetization = 0.00 μB/f.u.
1.0
6.337 0.000 0.000
0.000 10.743 0.000
-2.749 0.000 5.427
Mg Hg Pd
12 2 2
Direct
0.233 0.206 0.242
0.233 0.794 0.242
0.240 0.000 0.759
0.260 0.500 0.241
0.267 0.294 0.758
0.267 0.706 0.758
0.733 0.294 0.242
0.733 0.706 0.242
0.740 0.500 0.759
0.760 0.000 0.241
0.767 0.206 0.758
0.767 0.794 0.758
0.000 0.500 0.500
0.500 0.000 0.500
0.000 0.000 0.000
0.500 0.500 0.000

---

[3]
Hg3BiAu GGA-PBE relaxed; energy above the most stable polymorph in this dataset = 1.30 eV per formula unit; calculated total energy = -1.30 eV/atom; energy of formation = 0.311 eV per atom; magnetization = 0.00 μB/f.u.
1.0
5.331 0.000 0.000
0.000 5.331 0.000
0.000 0.000 5.331
Hg Bi Au
3 1 1
Direct
0.000 0.000 0.500
0.000 0.500 0.000
0.500 0.000 0.000
0.500 0.500 0.500
0.000 0.000 0.000

---

Which formula does entry 2 have? Mg6HgPd